Na8Li9Fe4O16 | PBE with a Hubbard U | optimized geometry

abc: 6.602 8.202 8.391
angles: 89.88 89.31 89.37
Atoms (fractional coordinates):
Na1 0.000 0.000 0.000
Na2 0.003 0.505 0.492
Na3 0.179 0.211 0.269
Na4 0.345 0.800 0.702
Na5 0.502 0.007 0.973
Na6 0.508 0.493 0.470
Na7 0.777 0.779 0.248
Na8 0.889 0.326 0.772
Li1 0.001 0.514 0.129
Li2 0.243 0.736 0.057
Li3 0.247 0.275 0.920
Li4 0.481 0.522 0.134
Li5 0.490 0.012 0.324
Li6 0.492 0.482 0.832
Li7 0.745 0.778 0.569
Li8 0.751 0.172 0.431
Li9 0.992 0.985 0.635
Fe1 0.245 0.781 0.352
Fe2 0.266 0.209 0.616
Fe3 0.738 0.281 0.129
Fe4 0.757 0.710 0.864
O1 0.002 0.204 0.525
O2 0.021 0.796 0.489
O3 0.231 0.063 0.784
O4 0.234 0.572 0.255
O5 0.264 0.938 0.189
O6 0.267 0.409 0.716
O7 0.460 0.206 0.457
O8 0.499 0.686 0.959
O9 0.503 0.798 0.445
O10 0.511 0.310 0.010
O11 0.726 0.566 0.697
O12 0.732 0.071 0.200
O13 0.742 0.466 0.248
O14 0.767 0.910 0.770
O15 0.956 0.716 0.009
O16 0.993 0.292 0.038

Values from the calculation:
DFT total energy (eV per atom): -5.045
N(E_F) (states/eV/atom): 0.252
Size of the total moment (μB/atom): 0.459
ρ (g cm⁻³): 2.65